# InHg2PtCl

A geometry-optimized InHg2PtCl structure (PBE, Alexandria).

The structure in CIF format:
```
data_InHg2PtCl
_space_group_name_H-M_alt 'P 1'
_space_group_IT_number 1
_cell_length_a 5.288
_cell_length_b 5.288
_cell_length_c 5.264
_cell_angle_alpha 90.00
_cell_angle_beta 90.00
_cell_angle_gamma 90.00
loop_
_space_group_symop_operation_xyz
'x,y,z'
loop_
_atom_site_label
_atom_site_fract_x
_atom_site_fract_y
_atom_site_fract_z
In1 0.000 0.000 0.500
Cl1 0.500 0.500 0.500
Hg1 0.500 0.000 0.000
Hg2 0.000 0.500 0.000
Pt1 0.000 0.000 0.000
```

Calculated values
SG: P4/mmm (123)


# RbInHgCl4

A geometry-optimized RbInHgCl4 structure (PBE, Alexandria).

The structure in CIF format:
```
data_RbInHgCl4
_space_group_name_H-M_alt 'P 1'
_space_group_IT_number 1
_cell_length_a 8.477
_cell_length_b 7.605
_cell_length_c 9.578
_cell_angle_alpha 90.00
_cell_angle_beta 108.05
_cell_angle_gamma 90.00
loop_
_space_group_symop_operation_xyz
'x,y,z'
loop_
_atom_site_label
_atom_site_fract_x
_atom_site_fract_y
_atom_site_fract_z
Cl1 0.360 0.750 0.142
Cl2 0.038 0.499 0.305
Cl3 0.038 0.001 0.305
Cl4 0.640 0.250 0.858
Cl5 0.581 0.250 0.444
Cl6 0.419 0.750 0.556
Cl7 0.962 0.999 0.695
Cl8 0.962 0.501 0.695
Hg1 0.705 0.750 0.957
Hg2 0.295 0.250 0.043
In1 0.787 0.250 0.684
In2 0.213 0.750 0.316
Rb1 0.261 0.250 0.602
Rb2 0.739 0.750 0.398
```

Calculated values
SG: P2_1/m (11)


# Rb2In2HgCl6

A geometry-optimized Rb2In2HgCl6 structure (PBE, Alexandria).

The structure in CIF format:
```
data_Rb2In2HgCl6
_space_group_name_H-M_alt 'P 1'
_space_group_IT_number 1
_cell_length_a 8.796
_cell_length_b 9.283
_cell_length_c 9.224
_cell_angle_alpha 114.87
_cell_angle_beta 90.07
_cell_angle_gamma 61.81
loop_
_space_group_symop_operation_xyz
'x,y,z'
loop_
_atom_site_label
_atom_site_fract_x
_atom_site_fract_y
_atom_site_fract_z
In1 0.087 0.827 0.862
In2 0.913 0.173 0.138
Cl1 0.605 0.368 0.134
Cl2 0.395 0.632 0.866
Cl3 0.978 0.628 0.864
Cl4 0.022 0.372 0.136
Cl5 0.926 0.146 0.390
Cl6 0.074 0.854 0.610
Rb1 0.178 0.645 0.203
Rb2 0.822 0.355 0.797
Hg1 0.500 0.000 0.500
```

Calculated values
SG: P-1 (2)


no.,E_form (uncorrected) (eV per formula unit)
1,-1.5
2,-8.3
3,-13.8